# 1
Compound: YIrN2O
Source: Alexandria
Functional: PBE-GGA
Structure: relaxed

```
5
Lattice="4.468 0.000 0.000 0.000 4.468 0.000 0.000 0.000 4.230" Properties=species:S:1:pos:R:3 pbc="T T T"
Y 0.000 0.000 0.000
Ir 2.234 2.234 2.115
N 0.000 2.234 0.000
N 2.234 0.000 0.000
O 0.000 0.000 2.115
```



# 2
Compound: YIrN2O
Source: Alexandria
Functional: PBE-GGA
Structure: relaxed

```
5
Lattice="3.852 0.000 0.000 0.000 3.852 0.000 0.000 0.000 4.177" Properties=species:S:1:pos:R:3 pbc="T T T"
Y 0.000 0.000 0.000
Ir 1.926 1.926 2.088
N 0.000 1.926 2.088
N 1.926 0.000 2.088
O 1.926 1.926 0.000
```



# 3
Compound: YIrNO2
Source: Alexandria
Functional: PBE-GGA
Structure: relaxed

```
5
Lattice="4.296 0.000 0.000 0.000 4.296 0.000 0.000 0.000 4.504" Properties=species:S:1:pos:R:3 pbc="T T T"
Y 0.000 0.000 0.000
Ir 2.148 2.148 2.252
N 0.000 0.000 2.252
O 0.000 2.148 0.000
O 2.148 0.000 0.000
```



# 4
Compound: Y2IrNO
Source: Alexandria
Functional: PBE-GGA
Structure: relaxed

```
5
Lattice="5.370 0.000 0.000 0.000 5.370 0.000 0.000 0.000 3.712" Properties=species:S:1:pos:R:3 pbc="T T T"
Y 0.000 2.685 0.000
Y 2.685 0.000 0.000
Ir 0.000 0.000 0.000
N 0.000 0.000 1.856
O 2.685 2.685 1.856
```



# 5
Compound: YIrNO2
Source: Alexandria
Functional: PBE-GGA
Structure: relaxed

```
5
Lattice="4.109 0.000 0.000 0.000 4.109 0.000 0.000 0.000 3.764" Properties=species:S:1:pos:R:3 pbc="T T T"
Y 0.000 0.000 0.000
Ir 2.055 2.055 1.882
N 2.055 2.055 0.000
O 0.000 2.055 1.882
O 2.055 0.000 1.882
```



# 6
Compound: IrOs3N
Source: Alexandria
Functional: PBE-GGA
Structure: relaxed

```
5
Lattice="4.718 0.000 0.000 0.000 4.718 0.000 0.000 0.000 4.718" Properties=species:S:1:pos:R:3 pbc="T T T"
Ir 0.000 0.000 0.000
Os 0.000 0.000 2.359
Os 0.000 2.359 0.000
Os 2.359 0.000 0.000
N 2.359 2.359 2.359
```

Summary:
Excess energy over the best structure of this formula in the dataset (eV/atom): 2.950



# 7
Compound: IrOsN3
Source: Alexandria
Functional: PBE-GGA
Structure: relaxed

```
5
Lattice="3.847 0.000 0.000 0.000 3.847 0.000 0.000 0.000 3.847" Properties=species:S:1:pos:R:3 pbc="T T T"
Ir 0.000 0.000 0.000
Os 1.923 1.923 1.923
N 0.000 1.923 1.923
N 1.923 0.000 1.923
N 1.923 1.923 0.000
```



# 8
Compound: IrOsN3
Source: Alexandria
Functional: PBE-GGA
Structure: relaxed

```
5
Lattice="3.836 0.000 0.000 0.000 3.836 0.000 0.000 0.000 3.836" Properties=species:S:1:pos:R:3 pbc="T T T"
Ir 0.000 0.000 0.000
Os 1.918 1.918 1.918
N 0.000 0.000 1.918
N 0.000 1.918 0.000
N 1.918 0.000 0.000
```



# 9
Compound: IrOs2N
Source: Alexandria
Functional: PBE-GGA
Structure: relaxed

```
8
Lattice="-2.445 2.445 5.322 2.445 -2.445 5.322 2.445 2.445 -5.322" Properties=species:S:1:pos:R:3 pbc="T T T"
Ir 0.000 0.000 0.000
Ir 0.000 2.445 2.661
Os 1.223 -0.801 3.992
Os 1.644 1.223 1.331
Os 1.223 3.246 -1.331
Os 0.801 1.223 6.653
N 2.445 0.000 2.661
N 0.000 0.000 5.322
```



# 10
Compound: IrOs3N
Source: Alexandria
Functional: PBE-GGA
Structure: relaxed

```
5
Lattice="4.035 0.000 0.000 0.000 4.035 0.000 0.000 0.000 4.035" Properties=species:S:1:pos:R:3 pbc="T T T"
Ir 0.000 0.000 0.000
Os 0.000 2.018 2.018
Os 2.018 0.000 2.018
Os 2.018 2.018 0.000
N 2.018 2.018 2.018
```

Summary:
Excess energy over the best structure of this formula in the dataset (eV/atom): 0.000



# 11
Compound: IrOsSN2
Source: Alexandria
Functional: PBE-GGA
Structure: relaxed

```
5
Lattice="3.710 0.000 0.000 0.000 3.710 0.000 0.000 0.000 5.337" Properties=species:S:1:pos:R:3 pbc="T T T"
Ir 0.000 0.000 0.000
Os 1.855 1.855 2.669
S 1.855 1.855 0.000
N 0.000 1.855 2.669
N 1.855 0.000 2.669
```

Summary:
Excess energy over the best structure of this formula in the dataset (eV/atom): 0.000



# 12
Compound: IrOsS2N
Source: Alexandria
Functional: PBE-GGA
Structure: relaxed

```
5
Lattice="4.768 0.000 0.000 0.000 4.768 0.000 0.000 0.000 3.574" Properties=species:S:1:pos:R:3 pbc="T T T"
Ir 0.000 0.000 0.000
Os 2.384 2.384 1.787
S 0.000 2.384 0.000
S 2.384 0.000 0.000
N 0.000 0.000 1.787
```

Summary:
Excess energy over the best structure of this formula in the dataset (eV/atom): 0.257



# 13
Compound: IrOsSN2
Source: Alexandria
Functional: PBE-GGA
Structure: relaxed

```
5
Lattice="3.635 0.000 0.000 0.000 3.635 0.000 0.000 0.000 7.753" Properties=species:S:1:pos:R:3 pbc="T T T"
Ir 0.000 0.000 0.000
Os 1.818 1.818 3.877
S 0.000 0.000 3.877
N 0.000 1.818 0.000
N 1.818 0.000 0.000
```

Summary:
Excess energy over the best structure of this formula in the dataset (eV/atom): 0.324



# 14
Compound: IrOsS2N
Source: Alexandria
Functional: PBE-GGA
Structure: relaxed

```
5
Lattice="4.722 0.000 0.000 0.000 4.722 0.000 0.000 0.000 3.612" Properties=species:S:1:pos:R:3 pbc="T T T"
Ir 0.000 0.000 0.000
Os 2.361 2.361 1.806
S 0.000 2.361 1.806
S 2.361 0.000 1.806
N 2.361 2.361 0.000
```

Summary:
Excess energy over the best structure of this formula in the dataset (eV/atom): 0.000



# 15
Compound: IrOsSe2N
Source: Alexandria
Functional: PBE-GGA
Structure: relaxed

```
5
Lattice="4.973 0.000 0.000 0.000 4.973 0.000 0.000 0.000 3.611" Properties=species:S:1:pos:R:3 pbc="T T T"
Ir 0.000 0.000 0.000
Os 2.487 2.487 1.805
Se 0.000 2.487 1.805
Se 2.487 0.000 1.805
N 2.487 2.487 0.000
```

Summary:
Excess energy over the best structure of this formula in the dataset (eV/atom): 0.000



# 16
Compound: IrOsSe2N
Source: Alexandria
Functional: PBE-GGA
Structure: relaxed

```
5
Lattice="5.022 0.000 0.000 0.000 5.022 0.000 0.000 0.000 3.570" Properties=species:S:1:pos:R:3 pbc="T T T"
Ir 0.000 0.000 0.000
Os 2.511 2.511 1.785
Se 0.000 2.511 0.000
Se 2.511 0.000 0.000
N 0.000 0.000 1.785
```

Summary:
Excess energy over the best structure of this formula in the dataset (eV/atom): 0.235



# 17
Compound: YIr2OsN
Source: Alexandria
Functional: PBE-GGA
Structure: relaxed

```
5
Lattice="5.038 0.000 0.000 0.000 5.038 0.000 0.000 0.000 4.018" Properties=species:S:1:pos:R:3 pbc="T T T"
Y 0.000 0.000 0.000
Ir 0.000 2.519 0.000
Ir 2.519 0.000 0.000
Os 2.519 2.519 2.009
N 0.000 0.000 2.009
```



# 18
Compound: PIr2N
Source: Alexandria
Functional: PBE-GGA
Structure: relaxed

```
8
Lattice="-2.421 2.421 5.116 2.421 -2.421 5.116 2.421 2.421 -5.116" Properties=species:S:1:pos:R:3 pbc="T T T"
P 0.000 0.000 0.000
P 0.000 2.421 2.558
Ir 1.211 -0.945 3.837
Ir 1.477 1.211 1.279
Ir 1.211 3.366 -1.279
Ir 0.945 1.211 6.395
N 2.421 0.000 2.558
N 0.000 0.000 5.116
```

Summary:
Excess energy over the best structure of this formula in the dataset (eV/atom): 0.000



# 19
Compound: P3IrN
Source: Alexandria
Functional: PBE-GGA
Structure: relaxed

```
5
Lattice="3.949 0.000 0.000 0.000 3.949 0.000 0.000 0.000 3.949" Properties=species:S:1:pos:R:3 pbc="T T T"
P 0.000 0.000 1.975
P 0.000 1.975 0.000
P 1.975 0.000 0.000
Ir 1.975 1.975 1.975
N 0.000 0.000 0.000
```

Summary:
Excess energy over the best structure of this formula in the dataset (eV/atom): 0.000



# 20
Compound: PIrN2
Source: Alexandria
Functional: PBE-GGA
Structure: relaxed

```
4
Lattice="1.352 0.781 6.051 -1.352 0.781 6.051 0.000 -1.562 6.051" Properties=species:S:1:pos:R:3 pbc="T T T"
P 0.000 0.000 0.000
Ir 0.000 0.000 9.076
N 0.000 0.000 7.006
N 0.000 0.000 11.146
```



| no. | ΔE_f (raw) (meV per atom) | uncorrected energy (eV/atom) |
| --- | --- | --- |
| 1 | 1349 | -6.037 |
| 2 | -422 | -7.809 |
| 3 | 486 | -6.227 |
| 4 | -317 | -7.331 |
| 5 | -956 | -7.670 |
| 6 | 3630 | -6.545 |
| 7 | 1727 | -7.286 |
| 8 | 2138 | -6.876 |
| 9 | 876 | -9.035 |
| 10 | 681 | -9.495 |
| 11 | 1196 | -6.978 |
| 12 | 1315 | -6.019 |
| 13 | 1519 | -6.654 |
| 14 | 1057 | -6.277 |
| 15 | 960 | -6.117 |
| 16 | 1195 | -5.882 |
| 17 | 2513 | -6.235 |
| 18 | 132 | -7.732 |
| 19 | 778 | -5.905 |
| 20 | 7 | -7.723 |